[1]
Entry from Alexandria: an optimized crystal structure of SrZrTl (PBE).

Results
M_tot   0.9 μB per formula unit
Formation energy   0.433 eV/atom
Excess energy over the best structure of this formula in the dataset   307 meV per atom
Energy   -3.77 eV/atom

Unit cell a=5.2396 b=5.2396 c=5.2396 alpha=60.00 beta=60.00 gamma=60.00
Last column: nearest neighbours and their distance in Å.
Positions (direct):
Sr1 0.0000 0.0000 0.0000  4 Tl 3.21
Zr1 0.5000 0.5000 0.5000  4 Tl 3.21
Tl1 0.2500 0.2500 0.2500  4 Zr 3.21, 4 Sr 3.21

[2]
Entry from Alexandria: an optimized crystal structure of Rb2H7Os (PBE).

Results
M_tot   1.0 μB per formula unit
Energy   -3.78 eV/atom

Unit cell a=7.1232 b=7.1232 c=10.2439 alpha=123.84 beta=123.84 gamma=45.07
Last column: nearest neighbours and their distance in Å.
Positions (direct):
Rb1 0.1386 0.1785 0.0667  8 H 2.74-3.06
Rb2 0.1785 0.1386 0.5667  8 H 2.74-3.06
Rb3 0.8215 0.8614 0.4333  8 H 2.74-3.06
Rb4 0.8614 0.8215 0.9333  8 H 2.74-3.06
H1 0.1473 0.6903 0.2491  1 Os 1.71
H2 0.2234 0.7766 0.7500  1 Os 1.66
H3 0.3046 0.4392 0.5685  1 Os 1.67
H4 0.3097 0.8527 0.2509  1 Os 1.71
H5 0.3462 0.5025 0.8231  1 Os 1.67
H6 0.4392 0.3046 0.0685  1 Os 1.67
H7 0.4975 0.6538 0.6769  1 Os 1.67
H8 0.5025 0.3462 0.3231  1 Os 1.67
H9 0.5608 0.6954 0.9315  1 Os 1.67
H10 0.6538 0.4975 0.1769  1 Os 1.67
H11 0.6903 0.1473 0.7491  1 Os 1.71
H12 0.6954 0.5608 0.4315  1 Os 1.67
H13 0.7766 0.2234 0.2500  1 Os 1.66
H14 0.8527 0.3097 0.7509  1 Os 1.71
Os1 0.4730 0.5270 0.2500  7 H 1.66-1.71
Os2 0.5270 0.4730 0.7500  7 H 1.66-1.71

[3]
Entry from Alexandria: an optimized crystal structure of AcZn3Ni2 (PBE).

Results
M_tot   0.0 μB per formula unit
Formation energy   -0.263 eV/atom
Excess energy over the best structure of this formula in the dataset   39 meV per atom
Energy   -3.51 eV/atom

Unit cell a=7.8827 b=7.8827 c=7.7967 alpha=115.23 beta=115.23 gamma=29.85
Last column: nearest neighbours and their distance in Å.
Positions (direct):
Ac1 0.1484 0.1484 0.0726  6 Ni 3.12-3.17, 7 Zn 3.31-3.47
Ac2 0.8516 0.8516 0.9274  6 Ni 3.12-3.17, 7 Zn 3.31-3.47
Zn1 0.0323 0.0323 0.3667  3 Ni 2.49-2.51, 3 Zn 2.66-2.73
Zn2 0.3176 0.3176 0.5469  4 Ni 2.50-2.59, 3 Zn 2.62-2.75
Zn3 0.4040 0.4040 0.3220  3 Ni 2.49-2.50, 3 Zn 2.62-2.73
Zn4 0.5960 0.5960 0.6780  3 Ni 2.49-2.50, 3 Zn 2.62-2.73
Zn5 0.6824 0.6824 0.4531  4 Ni 2.50-2.59, 3 Zn 2.62-2.75
Zn6 0.9677 0.9677 0.6333  3 Ni 2.49-2.51, 3 Zn 2.66-2.73
Ni1 0.1891 0.1891 0.6648  6 Zn 2.49-2.59
Ni2 0.4842 0.4842 0.8340  1 Ni 2.42, 4 Zn 2.49-2.54
Ni3 0.5158 0.5158 0.1660  1 Ni 2.42, 4 Zn 2.49-2.54
Ni4 0.8109 0.8109 0.3352  6 Zn 2.49-2.59

[4]
Entry from Alexandria: an optimized crystal structure of KHg2Cl (PBE).

Results
M_tot   0.0 μB per formula unit
Excess energy over the best structure of this formula in the dataset   0 meV per atom
Energy   -1.76 eV/atom

Unit cell a=4.3436 b=4.3223 c=8.2744 alpha=90.00 beta=96.39 gamma=90.00
Last column: nearest neighbours and their distance in Å.
Positions (direct):
K1 0.0000 0.0000 0.0000  4 Cl 3.06-3.07
Hg1 0.4390 0.0000 0.5851  4 Hg 3.35-3.39
Hg2 0.8964 0.5000 0.4142  4 Hg 3.35-3.39, 1 Cl 3.69
Cl1 0.4981 0.5000 0.9967  4 K 3.06-3.07

[5]
Entry from Alexandria: an optimized crystal structure of Cs2RbPPd (PBE).

Results
M_tot   0.0 μB per formula unit
Formation energy   -0.086 eV/atom
Excess energy over the best structure of this formula in the dataset   13 meV per atom
Energy   -2.74 eV/atom

Unit cell a=7.1623 b=7.1623 c=4.5699 alpha=90.00 beta=90.00 gamma=90.00
Last column: nearest neighbours and their distance in Å.
Positions (direct):
Cs1 0.0000 0.5000 0.0000  2 Pd 3.58
Cs2 0.5000 0.0000 0.0000  2 Pd 3.58
Rb1 0.0000 0.0000 0.5000  8 Cs 4.25, 2 Rb 4.57
P1 0.5000 0.5000 0.5000  2 Pd 2.28
Pd1 0.5000 0.5000 0.0000  2 P 2.28

[6]
Entry from Alexandria: an optimized crystal structure of In2Co2Cu (PBE).

Results
M_tot   1.9 μB per formula unit
Formation energy   0.130 eV/atom
Excess energy over the best structure of this formula in the dataset   1 meV per atom
Energy   -4.63 eV/atom

Unit cell a=5.3502 b=4.2023 c=7.0731 alpha=90.00 beta=90.59 gamma=90.00
Last column: nearest neighbours and their distance in Å.
Positions (direct):
In1 0.0000 0.0000 0.0000  7 Co 2.62-2.84, 2 Cu 2.69-2.73
In2 0.0201 0.5000 0.6138  3 Co 2.62-2.69, 2 Cu 2.93
In3 0.4884 0.0000 0.6963  2 Cu 2.59-2.72, 3 Co 2.71-2.90
In4 0.5259 0.5000 0.2886  4 Cu 2.60-2.64, 6 Co 2.63-2.84
Co1 0.0369 0.5000 0.2443  3 Co 2.49-2.59, 5 In 2.62-2.76, 2 Cu 2.70
Co2 0.2306 0.0000 0.3638  2 Cu 2.40-2.60, 2 Co 2.49
Co3 0.2834 0.5000 0.9303  2 Co 2.37-2.59, 2 Cu 2.58, 3 In 2.63-2.64
Co4 0.7261 0.5000 0.9201  1 Co 2.37, 2 Cu 2.62, 2 In 2.62
Cu1 0.5047 0.0000 0.0627  5 Co 2.58-2.62, 5 In 2.59-2.73, 1 Cu 2.72
Cu2 0.7839 0.0000 0.3862  1 Co 2.40, 2 In 2.60

[7]
Entry from Alexandria: an optimized crystal structure of Rb3DyS3 (PBE).

Results
M_tot   0.0 μB per formula unit
Energy   -4.29 eV/atom

Unit cell a=8.4704 b=8.4704 c=8.2052 alpha=95.41 beta=95.41 gamma=114.50
Last column: nearest neighbours and their distance in Å.
Positions (direct):
Rb1 0.1843 0.8157 0.0000  6 S 3.34-3.72
Rb2 0.2506 0.7494 0.5000  4 S 3.38-3.62
Rb3 0.3795 0.3795 0.1361  3 S 3.18-3.49, 1 Rb 3.40
Rb4 0.6205 0.6205 0.8639  3 S 3.18-3.49, 1 Rb 3.40
Rb5 0.7494 0.2506 0.5000  4 S 3.38-3.62
Rb6 0.8157 0.1843 0.0000  6 S 3.34-3.72
Dy1 0.1799 0.1799 0.6413  4 S 2.55-2.66
Dy2 0.8201 0.8201 0.3587  4 S 2.55-2.66
S1 0.0972 0.0972 0.3137  2 Dy 2.63-2.66
S2 0.1652 0.4583 0.7722  1 Dy 2.55
S3 0.4583 0.1652 0.7722  1 Dy 2.55
S4 0.5417 0.8348 0.2278  1 Dy 2.55
S5 0.8348 0.5417 0.2278  1 Dy 2.55
S6 0.9028 0.9028 0.6863  2 Dy 2.63-2.66

[8]
Entry from Alexandria: an optimized crystal structure of YIr2Pd (PBE).

Results
M_tot   0.0 μB per formula unit
Formation energy   -0.095 eV/atom
Energy   -7.44 eV/atom

Unit cell a=9.9805 b=9.9805 c=9.9805 alpha=156.63 beta=156.63 gamma=33.29
Last column: nearest neighbours and their distance in Å.
Positions (direct):
Y1 0.0000 0.0000 0.0000  4 Pd 2.86, 4 Ir 2.90
Y2 0.7500 0.2500 0.5000  4 Pd 2.86, 4 Ir 2.90
Ir1 0.1975 0.6250 0.0725  2 Ir 2.48, 2 Pd 2.69
Ir2 0.3750 0.4475 0.5725  2 Ir 2.48, 2 Pd 2.69
Ir3 0.5525 0.1250 0.9275  2 Ir 2.48, 2 Pd 2.69
Ir4 0.8750 0.8025 0.4275  2 Ir 2.48, 2 Pd 2.69
Pd1 0.2500 0.7500 0.5000  4 Ir 2.69, 4 Y 2.86
Pd2 0.5000 0.5000 0.0000  4 Ir 2.69, 4 Y 2.86